Here is crystalline Co2HgO4 at its relaxed geometry from Alexandria. Energies are from GGA+U.

Cell and atoms, written as extended XYZ:
```
14
Lattice="0.0000 4.2645 4.2645 4.2645 0.0000 4.2645 4.2645 4.2645 0.0000" Properties=species:S:1:pos:R:3 pbc="T T T"
Co 0.0000 0.0000 0.0000
Co 2.1322 2.1322 0.0000
Co 2.1322 0.0000 2.1322
Co 0.0000 2.1322 2.1322
Hg 3.1984 3.1984 3.1984
Hg 5.3306 5.3306 5.3306
O 6.5952 4.0661 4.0661
O 1.9338 1.9338 1.9338
O 4.4629 4.4629 1.9338
O 4.4629 1.9338 4.4629
O 4.0661 6.5952 4.0661
O 4.0661 4.0661 6.5952
O 6.5952 6.5952 6.5952
O 1.9338 4.4629 4.4629
```

Output
Density of states at the Fermi level = 0.000 states/eV per cell
Uncorrected energy = -70.88 eV/cell
Energy above the most stable polymorph in this dataset = 2 meV per atom